(1)
# SrYPd2

A relaxed structure of SrYPd2 (GGA-PBE, the Alexandria database).

The space group is P4/mmm (No. 123) and the conventional cell measures 3.5929, 3.5929 and 7.4121 Å, with angles of 90.00, 90.00 and 90.00 degrees. The asymmetric unit holds Sr at (0.0000, 0.0000, 0.0000), Y at (0.0000, 0.0000, 0.5000) and Pd at (0.5000, 0.5000, 0.2889).

For the energy above the most stable polymorph in this dataset, the calculation gives 0.00 eV/f.u.

(2)
# LuInRh

A relaxed structure of LuInRh (GGA-PBE, the Alexandria database).

The space group is P-6m2 (No. 187) and the conventional cell measures 4.6725, 4.6725 and 3.2792 Å, with angles of 90.00, 90.00 and 120.00 degrees. The asymmetric unit holds Lu at (0.0000, 0.0000, 0.0000), In at (0.3333, 0.6667, 0.5000) and Rh at (0.6667, 0.3333, 0.5000).

Values for total magnetization, Bohr magnetons per cell, ordered as above
0.0; 0.0
Values for raw total energy, eV/atom, ordered as above
-5.38; -5.43